Record 1
VASP calculation (PBE) on a relaxed YZrP2 crystal.

It has space group Immm (No. 71), with a = 4.088 Å, b = 5.401 Å, c = 7.178 Å, α = 90.00°, β = 90.00° and γ = 90.00°. Symmetry generates all atoms from Y at (0.000, 0.000, 0.000), Zr at (0.000, 0.000, 0.500) and P at (0.000, 0.500, 0.241).

For the energy relative to the elements, the calculation gives -3.930 eV/f.u. As for the energy above the most stable polymorph in this dataset: 0.504 eV per atom. The density of states at the Fermi level is 0.605 states/eV per atom.

Record 2
VASP calculation (PBE) on a relaxed Y2ZrP2 crystal.

It has space group P4/mbm (No. 127), with a = 7.344 Å, b = 7.344 Å, c = 3.890 Å, α = 90.00°, β = 90.00° and γ = 90.00°. Symmetry generates all atoms from Y at (0.158, 0.342, 0.000), Zr at (0.000, 0.000, 0.500) and P at (0.151, 0.651, 0.500).

For the energy relative to the elements, the calculation gives -5.975 eV/f.u. The density of states at the Fermi level is 1.008 states/eV per atom.

Record 3
VASP calculation (PBE) on a relaxed YZrP2 crystal.

It has space group I-4m2 (No. 119), with a = 3.817 Å, b = 3.817 Å, c = 11.375 Å, α = 90.00°, β = 90.00° and γ = 90.00°. Symmetry generates all atoms from Y at (0.000, 0.000, 0.000), Zr at (0.000, 0.500, 0.750), P at (0.000, 0.000, 0.500) and P at (0.000, 0.500, 0.250).

For the energy relative to the elements, the calculation gives -3.274 eV/f.u. As for the energy above the most stable polymorph in this dataset: 0.668 eV per atom. The density of states at the Fermi level is 0.838 states/eV per atom.

Record 4
VASP calculation (PBE) on a relaxed YZrP2 crystal.

It has space group R-3m (No. 166, hexagonal axes), with a = 3.8539 Å, b = 3.8539 Å, c = 19.0920 Å, α = 90.00°, β = 90.00° and γ = 120.00°. Symmetry generates all atoms from Y at (0.0000, 0.0000, 0.0000), Zr at (0.0000, 0.0000, 0.5000) and P at (0.0000, 0.0000, 0.2451).

For the energy relative to the elements, the calculation gives -5.945 eV/f.u. As for the energy above the most stable polymorph in this dataset: 0.000 eV per atom. The density of states at the Fermi level is 0.575 states/eV per atom.

Record 5
VASP calculation (PBE) on a relaxed YZr5P6 crystal.

It has space group C2/m (No. 12), with a = 6.556 Å, b = 11.333 Å, c = 6.567 Å, α = 90.00°, β = 109.46° and γ = 90.00°. Symmetry generates all atoms from Y at (0.000, 0.000, 0.000), Zr at (0.000, 0.163, 0.500), Zr at (0.000, 0.333, 0.000), Zr at (0.000, 0.500, 0.500), P at (0.243, 0.500, 0.251) and P at (0.245, 0.330, 0.744).

For the energy relative to the elements, the calculation gives -16.506 eV/f.u. The density of states at the Fermi level is 0.384 states/eV per atom.

Record 6
VASP calculation (PBE) on a relaxed YZr2P2 crystal.

It has space group P4/mbm (No. 127), with a = 7.322 Å, b = 7.322 Å, c = 3.572 Å, α = 90.00°, β = 90.00° and γ = 90.00°. Symmetry generates all atoms from Y at (0.000, 0.000, 0.000), Zr at (0.155, 0.345, 0.500) and P at (0.138, 0.638, 0.000).

For the energy relative to the elements, the calculation gives -5.688 eV/f.u. As for the energy above the most stable polymorph in this dataset: 0.000 eV per atom. The density of states at the Fermi level is 0.523 states/eV per atom.

Record 7
VASP calculation (PBE) on a relaxed YZrP2 crystal.

It has space group Amm2 (No. 38), with a = 3.914 Å, b = 3.741 Å, c = 11.358 Å, α = 90.00°, β = 90.00° and γ = 90.00°. Symmetry generates all atoms from Y at (0.000, 0.000, 0.000), Zr at (0.500, 0.000, 0.274), P at (0.000, 0.000, 0.747) and P at (0.500, 0.000, 0.500).

For the energy relative to the elements, the calculation gives -4.751 eV/f.u. As for the energy above the most stable polymorph in this dataset: 0.298 eV per atom. The density of states at the Fermi level is 0.475 states/eV per atom.

Record 8
VASP calculation (PBE) on a relaxed YZrP2 crystal.

It has space group Cmmm (No. 65), with a = 4.176 Å, b = 5.274 Å, c = 7.102 Å, α = 90.00°, β = 90.00° and γ = 90.00°. Symmetry generates all atoms from Y at (0.000, 0.000, 0.000), Zr at (0.000, 0.000, 0.500) and P at (0.000, 0.500, 0.262).

For the energy relative to the elements, the calculation gives -3.977 eV/f.u. As for the energy above the most stable polymorph in this dataset: 0.492 eV per atom. The density of states at the Fermi level is 0.524 states/eV per atom.

Record 9
VASP calculation (PBE) on a relaxed YZrP2 crystal.

It has space group I-42d (No. 122), with a = 6.101 Å, b = 6.101 Å, c = 12.014 Å, α = 90.00°, β = 90.00° and γ = 90.00°. Symmetry generates all atoms from Y at (0.000, 0.000, 0.000), Zr at (0.000, 0.000, 0.500) and P at (0.225, 0.250, 0.625).

For the energy relative to the elements, the calculation gives -3.424 eV/f.u. As for the energy above the most stable polymorph in this dataset: 0.630 eV per atom. The density of states at the Fermi level is 0.664 states/eV per atom.

Record 10
VASP calculation (PBE) on a relaxed YZrP2 crystal.

It has space group C2/m (No. 12), with a = 6.792 Å, b = 7.149 Å, c = 3.365 Å, α = 90.00°, β = 105.19° and γ = 90.00°. Symmetry generates all atoms from Y at (0.000, 0.000, 0.000), Zr at (0.000, 0.500, 0.000) and P at (0.250, 0.250, 0.500).

For the energy relative to the elements, the calculation gives -3.866 eV/f.u. As for the energy above the most stable polymorph in this dataset: 0.520 eV per atom. The density of states at the Fermi level is 0.609 states/eV per atom.

Record 11
VASP calculation (PBE) on a relaxed YZrP2 crystal.

It has space group Fm-3m (No. 225), with a = 6.742 Å, b = 6.742 Å, c = 6.742 Å, α = 90.00°, β = 90.00° and γ = 90.00°. Symmetry generates all atoms from Y at (0.000, 0.000, 0.000), Zr at (0.000, 0.000, 0.500) and P at (0.250, 0.250, 0.250).

For the energy relative to the elements, the calculation gives -3.635 eV/f.u. As for the energy above the most stable polymorph in this dataset: 0.577 eV per atom. The density of states at the Fermi level is 0.760 states/eV per atom.

Record 12
VASP calculation (PBE) on a relaxed Y4ZrP5 crystal.

It has space group I4/mmm (No. 139), with a = 3.956 Å, b = 3.956 Å, c = 27.939 Å, α = 90.00°, β = 90.00° and γ = 90.00°. Symmetry generates all atoms from Y at (0.000, 0.000, 0.099), Y at (0.000, 0.000, 0.301), Zr at (0.000, 0.000, 0.500), P at (0.000, 0.000, 0.000), P at (0.000, 0.000, 0.199) and P at (0.000, 0.000, 0.404).

For the energy relative to the elements, the calculation gives -15.549 eV/f.u. The density of states at the Fermi level is 0.210 states/eV per atom.

Computed total magnetic moment, in the same sequence as the records: 0.0, 0.0, 0.4, 0.0, 0.0, 0.0, 0.0, 0.0, 0.0, 0.0, 0.9, 0.0 μB/f.u..